Material: Nd2Ga4Rh3
Method: DFT, PBE-GGA
State: relaxed

Cell and atoms, written as CIF:
```
data_Nd2Ga4Rh3
_cell_length_a 5.5586
_cell_length_b 9.6855
_cell_length_c 12.8049
_cell_angle_alpha 90.00
_cell_angle_beta 90.00
_cell_angle_gamma 90.00
_symmetry_space_group_name_H-M 'F m m m'
_symmetry_Int_Tables_number 69
_symmetry_space_group_name_Hall '-F 2 2'
loop_
_atom_site_label
_atom_site_fract_x
_atom_site_fract_y
_atom_site_fract_z
Nd1 0.0000 0.0000 0.1272
Ga1 0.0000 0.1715 0.3421
Rh1 0.0000 0.0000 0.5000
Rh2 0.2500 0.2500 0.0000
```

Computed properties:
Its calculated density is 8.441 g cm⁻³. Its formation energy is -675 meV/atom. Its total magnetization is 0.000 μB per atom. As for the crystal system: orthorhombic. The total energy is -5.530 eV per atom.

***

Material: NdGa3RuRh
Method: DFT, PBE-GGA
State: relaxed

Cell and atoms, written as CIF:
```
data_NdGa3RuRh
_cell_length_a 7.7592
_cell_length_b 10.7733
_cell_length_c 5.8271
_cell_angle_alpha 90.00
_cell_angle_beta 90.00
_cell_angle_gamma 90.00
_symmetry_space_group_name_H-M 'C m c m'
_symmetry_Int_Tables_number 63
_symmetry_space_group_name_Hall '-C 2c 2'
loop_
_atom_site_label
_atom_site_fract_x
_atom_site_fract_y
_atom_site_fract_z
Nd1 0.0000 0.2131 0.2500
Ga1 0.0000 0.3035 0.7500
Ga2 0.2393 0.0000 0.0000
Ru1 0.0000 0.0806 0.7500
Rh1 0.0000 0.4718 0.2500
```

Computed properties:
Its calculated density is 7.601 g cm⁻³. Its formation energy is -436 meV/atom. Its total magnetization is 0.000 μB per atom. As for the crystal system: orthorhombic. The total energy is -5.515 eV per atom.

***

Look up the calculated density of the first one.
8.441 g cm⁻³